Density functional theory data (PBE with a Hubbard U) for a relaxed structure of SrHfVSnO6. Values from VASP.

E: -77.1 eV/cell
theoretical density: 6.8 g/cm³

The structure in Quantum ESPRESSO input format:
```
&SYSTEM
  ibrav = 0, nat = 10, ntyp = 5
/
ATOMIC_SPECIES
Sr 87.62 Sr.upf
Hf 178.49 Hf.upf
V 50.94 V.upf
Sn 118.71 Sn.upf
O 16.00 O.upf
CELL_PARAMETERS angstrom
2.110 -4.788 -2.219
3.247 -3.415 3.178
-1.996 -5.042 1.703
ATOMIC_POSITIONS crystal
Sr 0.250 0.250 0.250
Hf 0.000 0.000 0.000
V 0.500 0.500 0.500
Sn 0.750 0.750 0.750
O 0.257 0.743 0.257
O 0.743 0.257 0.743
O 0.257 0.743 0.743
O 0.743 0.257 0.257
O 0.257 0.257 0.743
O 0.743 0.743 0.257
```